Material: CaAlAg2
Method: DFT, GGA-PBE
State: optimized geometry

Structure (POSCAR):
```
CaAlAg2
1.0
5.443 -0.072 -0.056
1.977 5.072 0.056
-3.352 -3.031 3.035
Ca Al Ag
1 1 2
Direct
0.256 0.756 0.500 Ca
0.524 0.524 0.000 Al
0.734 0.234 0.500 Ag
0.986 0.986 0.000 Ag
```

Calculated values
- DOS(E_F): 2.2 states/eV/f.u.
- DFT formation energy: -0.118 eV per atom
- Size of the total moment: 0.0 μB per formula unit
- Electronic total energy: -2.98 eV per atom

---

Material: SbN2O2
Method: DFT, GGA-PBE
State: optimized geometry

Structure (POSCAR):
```
SbN2O2
1.0
3.406 -0.010 0.314
1.694 2.954 0.313
1.370 0.789 9.489
O Sb N
2 1 2
Direct
0.711 0.711 0.898 O
0.289 0.289 0.102 O
0.000 0.000 0.000 Sb
0.492 0.492 0.559 N
0.508 0.508 0.441 N
```

Calculated values
- DOS(E_F): 1.1 states/eV/f.u.
- Size of the total moment: 0.0 μB per formula unit
- Electronic total energy: -6.72 eV per atom
- Uncorrected formation energy: -2.89 eV per formula unit